DFT (PBE) results for Ce2SmC2Cl2 after structural relaxation.

abc: 4.696 4.696 7.814
angles: 107.48 107.48 90.00
Sites, in units of the cell vectors:
Ce  0.404  0.404  0.808
Ce  0.596  0.596  0.192
Sm  0.000  0.000  0.000
C  0.000  0.500  0.000
C  0.500  0.000  0.000
Cl  0.201  0.201  0.403
Cl  0.799  0.799  0.597

Properties
Crystal system   tetragonal
ρ   5.6 g/cm³
N(E_F)   7.1 states/eV/cell
Space-group type   I4/mmm (139)
Energy relative to the elements, uncorrected   -0.705 eV per atom

***

DFT (PBE) results for PmIn2Pb after structural relaxation.

abc: 6.541 6.695 6.695
angles: 79.21 60.76 60.76
Sites, in units of the cell vectors:
Pm  0.250  0.192  0.308
Pm  0.750  0.808  0.692
In  0.194  0.306  0.806
In  0.306  0.694  0.194
In  0.806  0.694  0.194
In  0.694  0.306  0.806
Pb  0.750  0.205  0.295
Pb  0.250  0.795  0.705

Properties
Crystal system   orthorhombic
ρ   8.7 g/cm³
Calculated formation energy   -0.3485 eV/atom
N(E_F)   5.5 states/eV/cell
Space-group type   Imma (74)

***

DFT (PBE) results for YFeSi2Ru after structural relaxation.

abc: 4.067 4.067 5.608
angles: 111.26 111.26 90.00
Sites, in units of the cell vectors:
Y  0.000  0.000  0.000
Fe  0.750  0.250  0.500
Si  0.631  0.631  0.263
Si  0.369  0.369  0.737
Ru  0.250  0.750  0.500

Properties
Crystal system   tetragonal
ρ   6.3 g/cm³
N(E_F)   3.7 states/eV/cell
Space-group type   I-4m2 (119)
Energy relative to the elements, uncorrected   -0.774 eV per atom

***

DFT (PBE) results for DyLuHgPt after structural relaxation.

abc: 5.043 5.043 5.043
angles: 60.00 60.00 60.00
Sites, in units of the cell vectors:
Lu  0.500  0.500  0.500
Hg  0.250  0.250  0.250
Pt  0.750  0.750  0.750
Dy  0.000  0.000  0.000

Properties
Crystal system   cubic
ρ   13.4 g/cm³
Calculated formation energy   -0.8405 eV/atom
N(E_F)   1.9 states/eV/cell
Space-group type   F-43m (216)

***

DFT (PBE) results for TeSe2Cl after structural relaxation.

abc: 7.267 7.267 4.953
angles: 83.33 83.33 27.01
Sites, in units of the cell vectors:
Cl  0.250  0.250  0.250
Se  0.052  0.052  0.829
Se  0.448  0.448  0.671
Te  0.750  0.750  0.750

Properties
Crystal system   monoclinic
ρ   4.5 g/cm³
N(E_F)   2.5 states/eV/cell
Space-group type   C2/m (12)
Energy relative to the elements, uncorrected   0.126 eV per atom

***

DFT (PBE) results for Nd3SmY8 after structural relaxation.

abc: 8.750 8.750 8.750
angles: 97.01 136.19 98.99
Sites, in units of the cell vectors:
Nd  0.500  0.751  0.251
Nd  0.500  0.249  0.749
Nd  0.000  0.500  0.500
Sm  0.000  0.000  0.000
Y  0.499  0.248  0.251
Y  0.501  0.752  0.749
Y  0.003  0.752  0.251
Y  0.997  0.248  0.749
Y  0.169  0.419  0.250
Y  0.831  0.081  0.250
Y  0.831  0.581  0.750
Y  0.169  0.919  0.750

Properties
Crystal system   orthorhombic
ρ   5.0 g/cm³
Calculated formation energy   0.3026 eV/atom
N(E_F)   16.7 states/eV/cell
Space-group type   Immm (71)